(1)
Compound: La5Nd12Dy2
Source: the Alexandria database
Functional: PBE
Structure: optimized geometry

Cell: 13.958 13.958 13.958 Å, 158.32 136.24 49.34°
Element x y z (fractional)
La 0.000 0.000 0.000
La 0.198 0.198 0.000
La 0.302 0.802 0.500
La 0.698 0.198 0.500
La 0.802 0.802 0.000
Nd 0.057 0.304 0.754
Nd 0.099 0.599 0.500
Nd 0.161 0.905 0.256
Nd 0.351 0.095 0.256
Nd 0.404 0.404 0.000
Nd 0.450 0.696 0.754
Nd 0.550 0.304 0.246
Nd 0.596 0.596 0.000
Nd 0.649 0.905 0.744
Nd 0.839 0.095 0.744
Nd 0.901 0.401 0.500
Nd 0.943 0.696 0.246
Dy 0.234 0.500 0.734
Dy 0.766 0.500 0.266

Properties
Polymorph energy (0 for the lowest one) = 0.000 eV per atom
Total DFT energy (no corrections) = -4.6825 eV/atom
Calculated formation energy = 109.9 meV/atom
Space group = Immm, No. 71
M_tot = 0.0001 μB/atom



(2)
Compound: La3NdDy8
Source: the Alexandria database
Functional: PBE
Structure: optimized geometry

Cell: 8.782 8.782 8.782 Å, 136.84 98.02 97.53°
Element x y z (fractional)
La 0.000 0.000 0.000
La 0.252 0.500 0.752
La 0.748 0.500 0.248
Nd 0.500 0.000 0.500
Dy 0.077 0.827 0.250
Dy 0.252 0.003 0.751
Dy 0.252 0.501 0.249
Dy 0.424 0.173 0.250
Dy 0.576 0.827 0.750
Dy 0.748 0.499 0.751
Dy 0.748 0.997 0.249
Dy 0.923 0.173 0.750

Properties
Total DFT energy (no corrections) = -4.4286 eV/atom
Calculated formation energy = 268.6 meV/atom
Space group = Immm, No. 71
M_tot = 0.0000 μB/atom



(3)
Compound: La3Nd2Dy8
Source: the Alexandria database
Functional: PBE
Structure: optimized geometry

Cell: 10.991 10.991 5.672 Å, 90.08 90.08 41.22°
Element x y z (fractional)
La 0.000 0.000 0.000
La 0.299 0.701 0.500
La 0.701 0.299 0.500
Nd 0.242 0.242 0.998
Nd 0.758 0.758 0.002
Dy 0.134 0.134 0.499
Dy 0.183 0.601 0.000
Dy 0.332 0.332 0.498
Dy 0.399 0.817 0.000
Dy 0.601 0.183 0.000
Dy 0.668 0.668 0.502
Dy 0.817 0.399 0.000
Dy 0.866 0.866 0.501

Properties
Polymorph energy (0 for the lowest one) = 0.229 eV per atom
Total DFT energy (no corrections) = -4.4521 eV/atom
Calculated formation energy = 250.6 meV/atom
Space group = C2/m, No. 12
M_tot = 0.0002 μB/atom



(4)
Compound: La5Nd5Dy2
Source: the Alexandria database
Functional: PBE
Structure: optimized geometry

Cell: 8.270 8.270 11.602 Å, 115.26 115.26 36.83°
Element x y z (fractional)
La 0.000 0.000 0.000
La 0.082 0.082 0.747
La 0.249 0.249 0.254
La 0.751 0.751 0.746
La 0.918 0.918 0.253
Nd 0.333 0.333 0.000
Nd 0.414 0.414 0.745
Nd 0.500 0.500 0.500
Nd 0.586 0.586 0.255
Nd 0.667 0.667 0.000
Dy 0.168 0.168 0.500
Dy 0.832 0.832 0.500

Properties
Total DFT energy (no corrections) = -4.7875 eV/atom
Calculated formation energy = 19.2 meV/atom
Space group = C2/m, No. 12
M_tot = 0.0000 μB/atom



(5)
Compound: LaNd5Dy5
Source: the Alexandria database
Functional: PBE
Structure: optimized geometry

Cell: 6.180 6.180 11.804 Å, 90.00 90.00 120.00°
Element x y z (fractional)
La 0.000 0.000 0.000
Nd 0.000 0.000 0.324
Nd 0.000 0.000 0.676
Nd 0.333 0.667 0.158
Nd 0.333 0.667 0.842
Nd 0.667 0.333 0.000
Dy 0.000 0.500 0.500
Dy 0.500 0.000 0.500
Dy 0.500 0.500 0.500
Dy 0.667 0.333 0.266
Dy 0.667 0.333 0.734

Properties
Total DFT energy (no corrections) = -4.4280 eV/atom
Calculated formation energy = 279.0 meV/atom
Space group = P-6m2, No. 187
M_tot = 0.0003 μB/atom



(6)
Compound: La6Nd12Dy
Source: the Alexandria database
Functional: PBE
Structure: optimized geometry

Cell: 8.811 8.811 8.811 Å, 89.68 89.68 89.68°
Element x y z (fractional)
La 0.199 0.765 0.594
La 0.235 0.406 0.801
La 0.406 0.801 0.235
La 0.594 0.199 0.765
La 0.765 0.594 0.199
La 0.801 0.235 0.406
Nd 0.033 0.937 0.281
Nd 0.063 0.719 0.967
Nd 0.138 0.479 0.315
Nd 0.281 0.033 0.937
Nd 0.315 0.138 0.479
Nd 0.479 0.315 0.138
Nd 0.521 0.685 0.862
Nd 0.685 0.862 0.521
Nd 0.719 0.967 0.063
Nd 0.862 0.521 0.685
Nd 0.937 0.281 0.033
Nd 0.967 0.063 0.719
Dy 0.500 0.500 0.500

Properties
Polymorph energy (0 for the lowest one) = 0.000 eV per atom
Total DFT energy (no corrections) = -4.6948 eV/atom
Calculated formation energy = 114.7 meV/atom
Space group = R-3, No. 148
M_tot = 0.0000 μB/atom



(7)
Compound: La16Nd6Dy7
Source: the Alexandria database
Functional: PBE
Structure: optimized geometry

Cell: 11.399 11.399 11.399 Å, 60.00 60.00 60.00°
Element x y z (fractional)
La 0.035 0.655 0.655
La 0.121 0.121 0.121
La 0.121 0.121 0.637
La 0.121 0.637 0.121
La 0.345 0.345 0.345
La 0.345 0.345 0.965
La 0.345 0.965 0.345
La 0.363 0.879 0.879
La 0.637 0.121 0.121
La 0.655 0.035 0.655
La 0.655 0.655 0.035
La 0.655 0.655 0.655
La 0.879 0.363 0.879
La 0.879 0.879 0.363
La 0.879 0.879 0.879
La 0.965 0.345 0.345
Nd 0.298 0.298 0.702
Nd 0.298 0.702 0.298
Nd 0.298 0.702 0.702
Nd 0.702 0.298 0.298
Nd 0.702 0.298 0.702
Nd 0.702 0.702 0.298
Dy 0.000 0.000 0.000
Dy 0.000 0.000 0.500
Dy 0.000 0.500 0.000
Dy 0.000 0.500 0.500
Dy 0.500 0.000 0.000
Dy 0.500 0.000 0.500
Dy 0.500 0.500 0.000

Properties
Total DFT energy (no corrections) = -4.6334 eV/atom
Calculated formation energy = 182.4 meV/atom
Space group = Fm-3m, No. 225
M_tot = 0.0128 μB/atom



(8)
Compound: LaNd12Dy7
Source: the Alexandria database
Functional: PBE
Structure: optimized geometry

Cell: 9.475 9.475 9.475 Å, 107.87 107.87 107.87°
Element x y z (fractional)
La 0.000 0.000 0.000
Nd 0.051 0.408 0.296
Nd 0.222 0.376 0.669
Nd 0.296 0.051 0.408
Nd 0.331 0.778 0.624
Nd 0.376 0.669 0.222
Nd 0.408 0.296 0.051
Nd 0.592 0.704 0.949
Nd 0.624 0.331 0.778
Nd 0.669 0.222 0.376
Nd 0.704 0.949 0.592
Nd 0.778 0.624 0.331
Nd 0.949 0.592 0.704
Dy 0.008 0.321 0.894
Dy 0.106 0.992 0.679
Dy 0.321 0.894 0.008
Dy 0.500 0.500 0.500
Dy 0.679 0.106 0.992
Dy 0.894 0.008 0.321
Dy 0.992 0.679 0.106

Properties
Polymorph energy (0 for the lowest one) = 0.000 eV per atom
Total DFT energy (no corrections) = -4.5692 eV/atom
Calculated formation energy = 148.6 meV/atom
Space group = R-3, No. 148
M_tot = 0.0000 μB/atom



(9)
Compound: La4Nd3Dy4
Source: the Alexandria database
Functional: PBE
Structure: optimized geometry

Cell: 10.881 6.727 6.727 Å, 51.31 90.00 90.00°
Element x y z (fractional)
La 0.000 0.000 0.000
La 0.208 0.802 0.802
La 0.500 0.920 0.920
La 0.792 0.802 0.802
Nd 0.000 0.293 0.293
Nd 0.291 0.454 0.454
Nd 0.709 0.454 0.454
Dy 0.000 0.596 0.596
Dy 0.307 0.149 0.149
Dy 0.500 0.647 0.647
Dy 0.693 0.149 0.149

Properties
Polymorph energy (0 for the lowest one) = 0.022 eV per atom
Total DFT energy (no corrections) = -4.6196 eV/atom
Calculated formation energy = 146.0 meV/atom
Space group = Amm2, No. 38
M_tot = 0.0000 μB/atom



(10)
Compound: La7NdDy12
Source: the Alexandria database
Functional: PBE
Structure: optimized geometry

Cell: 9.860 9.860 9.860 Å, 109.47 109.47 109.47°
Element x y z (fractional)
La 0.000 0.000 0.500
La 0.000 0.500 0.000
La 0.000 0.500 0.500
La 0.500 0.000 0.000
La 0.500 0.000 0.500
La 0.500 0.500 0.000
La 0.500 0.500 0.500
Nd 0.000 0.000 0.000
Dy 0.000 0.248 0.752
Dy 0.000 0.752 0.248
Dy 0.248 0.000 0.752
Dy 0.248 0.248 0.497
Dy 0.248 0.497 0.248
Dy 0.248 0.752 0.000
Dy 0.497 0.248 0.248
Dy 0.503 0.752 0.752
Dy 0.752 0.000 0.248
Dy 0.752 0.248 0.000
Dy 0.752 0.503 0.752
Dy 0.752 0.752 0.503

Properties
Total DFT energy (no corrections) = -4.1244 eV/atom
Calculated formation energy = 599.9 meV/atom
Space group = Im-3m, No. 229
M_tot = 0.0000 μB/atom



(11)
Compound: LaNd7Dy4
Source: the Alexandria database
Functional: PBE
Structure: optimized geometry

Cell: 6.809 6.809 12.834 Å, 114.71 114.71 53.00°
Element x y z (fractional)
La 0.000 0.000 0.000
Nd 0.058 0.058 0.332
Nd 0.209 0.209 0.919
Nd 0.369 0.369 0.497
Nd 0.500 0.500 0.000
Nd 0.631 0.631 0.503
Nd 0.791 0.791 0.081
Nd 0.942 0.942 0.668
Dy 0.254 0.254 0.685
Dy 0.366 0.366 0.225
Dy 0.634 0.634 0.775
Dy 0.746 0.746 0.315

Properties
Polymorph energy (0 for the lowest one) = 0.231 eV per atom
Total DFT energy (no corrections) = -4.4924 eV/atom
Calculated formation energy = 233.5 meV/atom
Space group = C2/m, No. 12
M_tot = 0.0014 μB/atom



(12)
Compound: LaNd2Dy9
Source: the Alexandria database
Functional: PBE
Structure: optimized geometry

Cell: 11.357 11.357 3.532 Å, 90.00 90.00 120.00°
Element x y z (fractional)
La 0.000 0.000 0.000
Nd 0.333 0.667 0.000
Nd 0.667 0.333 0.000
Dy 0.000 0.500 0.000
Dy 0.176 0.353 0.500
Dy 0.176 0.824 0.500
Dy 0.353 0.176 0.500
Dy 0.500 0.000 0.000
Dy 0.500 0.500 0.000
Dy 0.647 0.824 0.500
Dy 0.824 0.176 0.500
Dy 0.824 0.647 0.500

Properties
Polymorph energy (0 for the lowest one) = 0.030 eV per atom
Total DFT energy (no corrections) = -4.6031 eV/atom
Calculated formation energy = 53.8 meV/atom
Space group = P6/mmm, No. 191
M_tot = 0.0000 μB/atom